## w
First-principles (PBE-GGA) data for a geometry-optimized K2RbZr structure, as listed in the Alexandria database.

Computed properties:
As for the crystal system: cubic.

a = 6.6820 Å, b = 6.6820 Å, c = 6.6820 Å
α = 60.00°, β = 60.00°, γ = 60.00°
Sites, in units of the cell vectors:
K 0.2500 0.2500 0.2500
K 0.7500 0.7500 0.7500
Rb 0.0000 0.0000 0.0000
Zr 0.5000 0.5000 0.5000

=====

## x
First-principles (PBE-GGA) data for a geometry-optimized K2RbZr structure, as listed in the Alexandria database.

Computed properties:
As for the crystal system: tetragonal.

a = 8.4965 Å, b = 8.4965 Å, c = 8.4965 Å
α = 102.90°, β = 102.90°, γ = 123.61°
Sites, in units of the cell vectors:
K 0.1079 0.6250 0.9829
K 0.3750 0.3579 0.4829
K 0.6421 0.1250 0.0171
K 0.8750 0.8921 0.5171
Rb 0.2500 0.7500 0.5000
Rb 0.5000 0.5000 0.0000
Zr 0.0000 0.0000 0.0000
Zr 0.7500 0.2500 0.5000

=====

Which structure is most stable? w, by 104 meV per atom over the runner-up.